Material: Sr2YFeCu2O7
Method: DFT, GGA+U
State: optimized geometry Values from VASP.

The structure in Quantum ESPRESSO input format:
```
&SYSTEM
  ibrav = 0, nat = 13, ntyp = 5
/
ATOMIC_SPECIES
Sr 87.62 Sr.upf
Y 88.91 Y.upf
Fe 55.84 Fe.upf
Cu 63.55 Cu.upf
O 16.00 O.upf
CELL_PARAMETERS angstrom
3.7474 0.0000 0.0000
0.0000 3.8891 0.0000
0.0000 0.0000 11.6321
ATOMIC_POSITIONS crystal
Sr 0.0000 0.0000 0.1877
Sr 0.0000 0.0000 0.8123
Y 0.0000 0.0000 0.5000
Fe 0.5000 0.5000 0.0000
Cu 0.5000 0.5000 0.3520
Cu 0.5000 0.5000 0.6480
O 0.0000 0.5000 0.3775
O 0.0000 0.5000 0.6225
O 0.5000 0.0000 0.0000
O 0.5000 0.0000 0.3720
O 0.5000 0.0000 0.6280
O 0.5000 0.5000 0.1616
O 0.5000 0.5000 0.8384
```

Polymorph energy (0 for the lowest one) ... 65 meV per atom
N(E_F) ... 2.51 states/eV per cell